VASP calculation (GGA-PBE) on an optimized crystal structure of RbMgTcGe2.

a b c (Å): 4.8712 4.8712 5.2520
angles (deg): 90.00 90.00 90.00
With the nearest neighbours (Å) after each atom.
Space group P4/mmm (No. 123)
Asymmetric unit:
Rb: 0.0000 0.0000 0.0000 [1 per cell]  4 Mg 3.44, 8 Ge 3.58
Mg: 0.5000 0.5000 0.0000 [1 per cell]  2 Tc 2.63
Tc: 0.5000 0.5000 0.5000 [1 per cell]  4 Ge 2.44, 2 Mg 2.63
Ge: 0.0000 0.5000 0.5000 [2 per cell]  2 Tc 2.44

Its uncorrected energy is -4.47 eV per atom. The calculation puts the total magnetization at 0.00 μB per cell.

***

VASP calculation (GGA-PBE) on an optimized crystal structure of Ce2Sn3Au5.

a b c (Å): 13.0735 12.8476 6.5943
angles (deg): 90.00 119.80 90.00
With the nearest neighbours (Å) after each atom.
Space group C2/c (No. 15)
Asymmetric unit:
Ce: 0.2330 0.1294 0.2184 [8 per cell]  6 Au 3.27-3.66, 4 Sn 3.41-3.64
Sn: 0.0000 0.4932 0.2500 [4 per cell]  5 Au 2.72-2.87
Sn: 0.1239 0.1325 0.5919 [8 per cell]  5 Au 2.63-2.77
Au: 0.0000 0.0142 0.7500 [4 per cell]  4 Sn 2.76-2.77, 1 Au 3.03
Au: 0.0000 0.2501 0.7500 [4 per cell]  2 Sn 2.77, 3 Au 2.82-3.03
Au: 0.0000 0.2756 0.2500 [4 per cell]  3 Sn 2.73-2.80, 2 Au 2.87
Au: 0.1488 0.3844 0.1166 [8 per cell]  3 Sn 2.63-2.87, 2 Au 2.82-2.87

Its uncorrected energy is -4.50 eV per atom. The calculation puts the total magnetization at 7.90 μB per cell.

***

VASP calculation (GGA-PBE) on an optimized crystal structure of Zr5Re.

a b c (Å): 5.4039 5.4039 5.4187
angles (deg): 90.00 90.00 120.00
With the nearest neighbours (Å) after each atom.
Space group P6/mmm (No. 191)
Asymmetric unit:
Zr: 0.0000 0.5000 0.0000 [3 per cell]  4 Zr 2.70
Zr: 0.3333 0.6667 0.5000 [2 per cell]  3 Re 3.12, 9 Zr 3.12-3.13
Re: 0.0000 0.0000 0.5000 [1 per cell]  6 Zr 3.12

Its uncorrected energy is -8.33 eV per atom. The calculation puts the total magnetization at 0.00 μB per cell.

***

Q: Which value of uncorrected energy does entry 3 give?
A: -8.33 eV per atom

***

Q: Number 1 is which compound?
A: RbMgTcGe2

***

Q: Number 2 is which compound?
A: Ce2Sn3Au5

***

Q: Which formula does entry 1 have?
A: RbMgTcGe2